A) # PBE Er8Cu2Os, optimized geometry
# - symmetry = No. 8
# - V (Å³ per cell) = 288.06
# - size of the total moment (Bohr magnetons per cell) = 0.000
data_Er8Cu2Os
_cell_length_a 7.6903
_cell_length_b 7.6903
_cell_length_c 5.8243
_cell_angle_alpha 101.14
_cell_angle_beta 101.14
_cell_angle_gamma 116.07
_symmetry_space_group_name_H-M 'P 1'
_symmetry_Int_Tables_number 1
_symmetry_space_group_name_Hall 'P 1'
loop_
_atom_site_label
_atom_site_type_symbol
_atom_site_fract_x
_atom_site_fract_y
_atom_site_fract_z
Er1 Er 0.0000 0.0000 0.0000
Er2 Er 0.0244 0.2718 0.5927
Er3 Er 0.1563 0.5651 0.1893
Er4 Er 0.2718 0.0244 0.5927
Er5 Er 0.4483 0.6952 0.8083
Er6 Er 0.5651 0.1563 0.1893
Er7 Er 0.6952 0.4483 0.8083
Er8 Er 0.7187 0.7187 0.3730
Cu1 Cu 0.0511 0.6592 0.6843
Cu2 Cu 0.6592 0.0511 0.6843
Os1 Os 0.3596 0.3596 0.0296



B) # PBE Er8Cu2Os, optimized geometry
# - symmetry = No. 12
# - V (Å³ per cell) = 272.62
# - size of the total moment (Bohr magnetons per cell) = 0.000
data_Er8Cu2Os
_cell_length_a 8.8894
_cell_length_b 8.8894
_cell_length_c 6.6567
_cell_angle_alpha 106.90
_cell_angle_beta 106.90
_cell_angle_gamma 32.95
_symmetry_space_group_name_H-M 'P 1'
_symmetry_Int_Tables_number 1
_symmetry_space_group_name_Hall 'P 1'
loop_
_atom_site_label
_atom_site_type_symbol
_atom_site_fract_x
_atom_site_fract_y
_atom_site_fract_z
Er1 Er 0.0321 0.0321 0.2967
Er2 Er 0.1980 0.1980 0.8181
Er3 Er 0.3330 0.3330 0.5243
Er4 Er 0.4087 0.4087 0.0604
Er5 Er 0.5913 0.5913 0.9396
Er6 Er 0.6670 0.6670 0.4757
Er7 Er 0.8020 0.8020 0.1819
Er8 Er 0.9679 0.9679 0.7033
Cu1 Cu 0.1836 0.1836 0.2145
Cu2 Cu 0.8164 0.8164 0.7855
Os1 Os 0.5000 0.5000 0.5000



Which of them is the most stable? Correct choice: B).



A) # PBE ErPaCu, optimized geometry
# - symmetry = No. 107
# - V (Å³ per cell) = 135.16
# - size of the total moment (Bohr magnetons per cell) = 0.000
data_ErPaCu
_cell_length_a 3.2697
_cell_length_b 3.2697
_cell_length_c 12.6424
_cell_angle_alpha 90.00
_cell_angle_beta 90.00
_cell_angle_gamma 90.00
_symmetry_space_group_name_H-M 'P 1'
_symmetry_Int_Tables_number 1
_symmetry_space_group_name_Hall 'P 1'
loop_
_atom_site_label
_atom_site_type_symbol
_atom_site_fract_x
_atom_site_fract_y
_atom_site_fract_z
Er1 Er 0.0000 0.0000 0.0000
Er2 Er 0.5000 0.5000 0.5000
Pa1 Pa 0.0000 0.0000 0.2960
Pa2 Pa 0.5000 0.5000 0.7960
Cu1 Cu 0.0000 0.0000 0.6455
Cu2 Cu 0.5000 0.5000 0.1455



B) # PBE ErPaCu, optimized geometry
# - symmetry = No. 63
# - V (Å³ per cell) = 266.64
# - size of the total moment (Bohr magnetons per cell) = 0.000
data_ErPaCu
_cell_length_a 3.3972
_cell_length_b 17.6826
_cell_length_c 4.4388
_cell_angle_alpha 90.00
_cell_angle_beta 90.00
_cell_angle_gamma 90.00
_symmetry_space_group_name_H-M 'P 1'
_symmetry_Int_Tables_number 1
_symmetry_space_group_name_Hall 'P 1'
loop_
_atom_site_label
_atom_site_type_symbol
_atom_site_fract_x
_atom_site_fract_y
_atom_site_fract_z
Er1 Er 0.0000 0.0889 0.2500
Er2 Er 0.0000 0.9111 0.7500
Er3 Er 0.5000 0.4111 0.7500
Er4 Er 0.5000 0.5889 0.2500
Pa1 Pa 0.0000 0.2885 0.2500
Pa2 Pa 0.0000 0.7115 0.7500
Pa3 Pa 0.5000 0.2115 0.7500
Pa4 Pa 0.5000 0.7885 0.2500
Cu1 Cu 0.0000 0.4571 0.2500
Cu2 Cu 0.0000 0.5429 0.7500
Cu3 Cu 0.5000 0.0429 0.7500
Cu4 Cu 0.5000 0.9571 0.2500



Which of them is the most stable? Correct choice: B).



A) # PBE ErPaCu2, optimized geometry
# - symmetry = No. 166
# - V (Å³ per cell) = 251.60
# - size of the total moment (Bohr magnetons per cell) = 0.000
data_ErPaCu2
_cell_length_a 3.3197
_cell_length_b 3.3197
_cell_length_c 26.3613
_cell_angle_alpha 90.00
_cell_angle_beta 90.00
_cell_angle_gamma 120.00
_symmetry_space_group_name_H-M 'P 1'
_symmetry_Int_Tables_number 1
_symmetry_space_group_name_Hall 'P 1'
loop_
_atom_site_label
_atom_site_type_symbol
_atom_site_fract_x
_atom_site_fract_y
_atom_site_fract_z
Er1 Er 0.0000 0.0000 0.0000
Er2 Er 0.3333 0.6667 0.6667
Er3 Er 0.6667 0.3333 0.3333
Pa1 Pa 0.0000 0.0000 0.5000
Pa2 Pa 0.3333 0.6667 0.1667
Pa3 Pa 0.6667 0.3333 0.8333
Cu1 Cu 0.0000 0.0000 0.2522
Cu2 Cu 0.0000 0.0000 0.7478
Cu3 Cu 0.3333 0.6667 0.4145
Cu4 Cu 0.3333 0.6667 0.9188
Cu5 Cu 0.6667 0.3333 0.0812
Cu6 Cu 0.6667 0.3333 0.5855



B) # PBE ErPaCu2, optimized geometry
# - symmetry = No. 123
# - V (Å³ per cell) = 79.68
# - size of the total moment (Bohr magnetons per cell) = 0.000
data_ErPaCu2
_cell_length_a 3.2743
_cell_length_b 3.2743
_cell_length_c 7.4318
_cell_angle_alpha 90.00
_cell_angle_beta 90.00
_cell_angle_gamma 90.00
_symmetry_space_group_name_H-M 'P 1'
_symmetry_Int_Tables_number 1
_symmetry_space_group_name_Hall 'P 1'
loop_
_atom_site_label
_atom_site_type_symbol
_atom_site_fract_x
_atom_site_fract_y
_atom_site_fract_z
Er1 Er 0.0000 0.0000 0.0000
Pa1 Pa 0.0000 0.0000 0.5000
Cu1 Cu 0.5000 0.5000 0.2434
Cu2 Cu 0.5000 0.5000 0.7566



Which of them is the most stable? Correct choice: B).



A) # PBE ErCuPb2, optimized geometry
# - symmetry = No. 123
# - V (Å³ per cell) = 96.91
# - size of the total moment (Bohr magnetons per cell) = 0.000
data_ErCuPb2
_cell_length_a 4.6867
_cell_length_b 4.6867
_cell_length_c 4.4118
_cell_angle_alpha 90.00
_cell_angle_beta 90.00
_cell_angle_gamma 90.00
_symmetry_space_group_name_H-M 'P 1'
_symmetry_Int_Tables_number 1
_symmetry_space_group_name_Hall 'P 1'
loop_
_atom_site_label
_atom_site_type_symbol
_atom_site_fract_x
_atom_site_fract_y
_atom_site_fract_z
Er1 Er 0.0000 0.0000 0.0000
Cu1 Cu 0.5000 0.5000 0.0000
Pb1 Pb 0.0000 0.5000 0.5000
Pb2 Pb 0.5000 0.0000 0.5000



B) # PBE ErCuPb2, optimized geometry
# - symmetry = No. 166
# - V (Å³ per cell) = 326.58
# - size of the total moment (Bohr magnetons per cell) = 0.000
data_ErCuPb2
_cell_length_a 3.4807
_cell_length_b 3.4807
_cell_length_c 31.1266
_cell_angle_alpha 90.00
_cell_angle_beta 90.00
_cell_angle_gamma 120.00
_symmetry_space_group_name_H-M 'P 1'
_symmetry_Int_Tables_number 1
_symmetry_space_group_name_Hall 'P 1'
loop_
_atom_site_label
_atom_site_type_symbol
_atom_site_fract_x
_atom_site_fract_y
_atom_site_fract_z
Er1 Er 0.0000 0.0000 0.0000
Er2 Er 0.3333 0.6667 0.6667
Er3 Er 0.6667 0.3333 0.3333
Cu1 Cu 0.0000 0.0000 0.5000
Cu2 Cu 0.3333 0.6667 0.1667
Cu3 Cu 0.6667 0.3333 0.8333
Pb1 Pb 0.0000 0.0000 0.1012
Pb2 Pb 0.0000 0.0000 0.8988
Pb3 Pb 0.3333 0.6667 0.5655
Pb4 Pb 0.3333 0.6667 0.7679
Pb5 Pb 0.6667 0.3333 0.2321
Pb6 Pb 0.6667 0.3333 0.4345



Which of them is the most stable? Correct choice: A).



A) # PBE ErCuPd, optimized geometry
# - symmetry = No. 62
# - V (Å³ per cell) = 223.54
# - size of the total moment (Bohr magnetons per cell) = 0.000
data_ErCuPd
_cell_length_a 7.0196
_cell_length_b 3.9337
_cell_length_c 8.0954
_cell_angle_alpha 90.00
_cell_angle_beta 90.00
_cell_angle_gamma 90.00
_symmetry_space_group_name_H-M 'P 1'
_symmetry_Int_Tables_number 1
_symmetry_space_group_name_Hall 'P 1'
loop_
_atom_site_label
_atom_site_type_symbol
_atom_site_fract_x
_atom_site_fract_y
_atom_site_fract_z
Er1 Er 0.0501 0.2500 0.1954
Er2 Er 0.4499 0.7500 0.6954
Er3 Er 0.5501 0.2500 0.3046
Er4 Er 0.9499 0.7500 0.8046
Cu1 Cu 0.1223 0.2500 0.5684
Cu2 Cu 0.3777 0.7500 0.0684
Cu3 Cu 0.6223 0.2500 0.9316
Cu4 Cu 0.8777 0.7500 0.4316
Pd1 Pd 0.2428 0.2500 0.8847
Pd2 Pd 0.2572 0.7500 0.3847
Pd3 Pd 0.7428 0.2500 0.6153
Pd4 Pd 0.7572 0.7500 0.1153



B) # PBE ErCuPd, optimized geometry
# - symmetry = No. 63
# - V (Å³ per cell) = 222.94
# - size of the total moment (Bohr magnetons per cell) = 0.000
data_ErCuPd
_cell_length_a 4.2778
_cell_length_b 9.5948
_cell_length_c 5.4316
_cell_angle_alpha 90.00
_cell_angle_beta 90.00
_cell_angle_gamma 90.00
_symmetry_space_group_name_H-M 'P 1'
_symmetry_Int_Tables_number 1
_symmetry_space_group_name_Hall 'P 1'
loop_
_atom_site_label
_atom_site_type_symbol
_atom_site_fract_x
_atom_site_fract_y
_atom_site_fract_z
Er1 Er 0.0000 0.2043 0.2500
Er2 Er 0.0000 0.7957 0.7500
Er3 Er 0.5000 0.2957 0.7500
Er4 Er 0.5000 0.7043 0.2500
Cu1 Cu 0.0000 0.5000 0.0000
Cu2 Cu 0.0000 0.5000 0.5000
Cu3 Cu 0.5000 0.0000 0.0000
Cu4 Cu 0.5000 0.0000 0.5000
Pd1 Pd 0.0000 0.0938 0.7500
Pd2 Pd 0.0000 0.9062 0.2500
Pd3 Pd 0.5000 0.4062 0.2500
Pd4 Pd 0.5000 0.5938 0.7500



Which of them is the most stable? Correct choice: A).



A) # PBE ErCuPd5, optimized geometry
# - symmetry = No. 123
# - V (Å³ per cell) = 119.98
# - size of the total moment (Bohr magnetons per cell) = 0.000
data_ErCuPd5
_cell_length_a 4.2985
_cell_length_b 4.2985
_cell_length_c 6.4934
_cell_angle_alpha 90.00
_cell_angle_beta 90.00
_cell_angle_gamma 90.00
_symmetry_space_group_name_H-M 'P 1'
_symmetry_Int_Tables_number 1
_symmetry_space_group_name_Hall 'P 1'
loop_
_atom_site_label
_atom_site_type_symbol
_atom_site_fract_x
_atom_site_fract_y
_atom_site_fract_z
Er1 Er 0.0000 0.0000 0.0000
Cu1 Cu 0.5000 0.5000 0.5000
Pd1 Pd 0.0000 0.5000 0.2854
Pd2 Pd 0.0000 0.5000 0.7146
Pd3 Pd 0.5000 0.0000 0.2854
Pd4 Pd 0.5000 0.0000 0.7146
Pd5 Pd 0.5000 0.5000 0.0000



B) # PBE ErCuPd5, optimized geometry
# - symmetry = No. 15
# - V (Å³ per cell) = 251.65
# - size of the total moment (Bohr magnetons per cell) = 0.000
data_ErCuPd5
_cell_length_a 7.3672
_cell_length_b 7.3672
_cell_length_c 8.3433
_cell_angle_alpha 124.38
_cell_angle_beta 124.38
_cell_angle_gamma 44.54
_symmetry_space_group_name_H-M 'P 1'
_symmetry_Int_Tables_number 1
_symmetry_space_group_name_Hall 'P 1'
loop_
_atom_site_label
_atom_site_type_symbol
_atom_site_fract_x
_atom_site_fract_y
_atom_site_fract_z
Er1 Er 0.0056 0.9944 0.7500
Er2 Er 0.9944 0.0056 0.2500
Cu1 Cu 0.0000 0.5000 0.5000
Cu2 Cu 0.5000 0.0000 0.0000
Pd1 Pd 0.1266 0.6164 0.8838
Pd2 Pd 0.1286 0.6164 0.3607
Pd3 Pd 0.3836 0.8714 0.1393
Pd4 Pd 0.3836 0.8734 0.6162
Pd5 Pd 0.4921 0.5079 0.7500
Pd6 Pd 0.5079 0.4921 0.2500
Pd7 Pd 0.6164 0.1266 0.3838
Pd8 Pd 0.6164 0.1286 0.8607
Pd9 Pd 0.8714 0.3836 0.6393
Pd10 Pd 0.8734 0.3836 0.1162



Which of them is the most stable? Correct choice: A).



A) # PBE PmErCuPd, optimized geometry
# - symmetry = No. 216
# - V (Å³ per cell) = 351.17
# - size of the total moment (Bohr magnetons per cell) = 0.000
data_PmErCuPd
_cell_length_a 7.0552
_cell_length_b 7.0552
_cell_length_c 7.0552
_cell_angle_alpha 90.00
_cell_angle_beta 90.00
_cell_angle_gamma 90.00
_symmetry_space_group_name_H-M 'P 1'
_symmetry_Int_Tables_number 1
_symmetry_space_group_name_Hall 'P 1'
loop_
_atom_site_label
_atom_site_type_symbol
_atom_site_fract_x
_atom_site_fract_y
_atom_site_fract_z
Pm1 Pm 0.0000 0.0000 0.0000
Pm2 Pm 0.0000 0.5000 0.5000
Pm3 Pm 0.5000 0.0000 0.5000
Pm4 Pm 0.5000 0.5000 0.0000
Er1 Er 0.0000 0.0000 0.5000
Er2 Er 0.0000 0.5000 0.0000
Er3 Er 0.5000 0.0000 0.0000
Er4 Er 0.5000 0.5000 0.5000
Cu1 Cu 0.2500 0.2500 0.7500
Cu2 Cu 0.2500 0.7500 0.2500
Cu3 Cu 0.7500 0.2500 0.2500
Cu4 Cu 0.7500 0.7500 0.7500
Pd1 Pd 0.2500 0.2500 0.2500
Pd2 Pd 0.2500 0.7500 0.7500
Pd3 Pd 0.7500 0.2500 0.7500
Pd4 Pd 0.7500 0.7500 0.2500



B) # PBE PmErCuPd, optimized geometry
# - symmetry = No. 38
# - V (Å³ per cell) = 182.03
# - size of the total moment (Bohr magnetons per cell) = 0.000
data_PmErCuPd
_cell_length_a 4.5907
_cell_length_b 3.7861
_cell_length_c 10.4730
_cell_angle_alpha 90.00
_cell_angle_beta 90.00
_cell_angle_gamma 90.00
_symmetry_space_group_name_H-M 'P 1'
_symmetry_Int_Tables_number 1
_symmetry_space_group_name_Hall 'P 1'
loop_
_atom_site_label
_atom_site_type_symbol
_atom_site_fract_x
_atom_site_fract_y
_atom_site_fract_z
Pm1 Pm 0.0000 0.0000 0.0000
Pm2 Pm 0.0000 0.5000 0.5000
Er1 Er 0.5000 0.0000 0.2775
Er2 Er 0.5000 0.5000 0.7775
Cu1 Cu 0.0000 0.0000 0.7191
Cu2 Cu 0.0000 0.5000 0.2191
Pd1 Pd 0.5000 0.0000 0.5655
Pd2 Pd 0.5000 0.5000 0.0655



Which of them is the most stable? Correct choice: B).